(1)
{
  "formula": "Nd5In",
  "functional": "PBE",
  "state": "relaxed",
  "cell": [[5.9229, 0.0000, 0.0000], [0.0000, 5.8561, 0.0000], [0.0000, -2.9280, 5.6130]],
  "species": ["Nd", "Nd", "Nd", "Nd", "Nd", "In"],
  "fractional_positions": [[0.5000, 0.6569, 0.3137], [0.0000, 0.8427, 0.6854], [0.5000, 0.0000, 0.0000], [0.0000, 0.1573, 0.3146], [0.5000, 0.3431, 0.6862], [0.0000, 0.5000, 0.0000]],
  "crystal_system": "orthorhombic",
  "rho_g_cm3": 7.131,
  "volume_a3_per_cell": 194.7,
  "total_energy_ev_per_cell": -27.14,
  "de_polymorph_ev_per_fu": 0.35
}

---

(2)
{
  "formula": "Nd3In5",
  "functional": "PBE",
  "state": "relaxed",
  "cell": [[-1.0262, -6.1641, 2.0427], [4.4257, 2.1232, 4.3734], [-7.8254, 3.3828, 6.2767]],
  "species": ["Nd", "Nd", "Nd", "Nd", "Nd", "Nd", "In", "In", "In", "In", "In", "In", "In", "In", "In", "In"],
  "fractional_positions": [[0.6279, 0.6279, 0.2500], [0.3721, 0.3721, 0.7500], [0.2031, 0.7969, 0.5000], [0.2031, 0.7969, 0.0000], [0.7969, 0.2031, 0.5000], [0.7969, 0.2031, 0.0000], [0.0111, 0.0111, 0.2500], [0.9889, 0.9889, 0.7500], [0.3090, 0.3090, 0.0479], [0.6910, 0.6910, 0.9521], [0.3090, 0.3090, 0.4521], [0.6910, 0.6910, 0.5479], [0.5040, 0.0777, 0.2500], [0.9223, 0.4960, 0.7500], [0.4960, 0.9223, 0.7500], [0.0777, 0.5040, 0.2500]],
  "crystal_system": "orthorhombic",
  "rho_g_cm3": 7.460,
  "volume_a3_per_cell": 448.2,
  "total_energy_ev_per_cell": -64.29,
  "de_polymorph_ev_per_fu": 0.00
}

---

(3)
{
  "formula": "Nd3In",
  "functional": "PBE",
  "state": "relaxed",
  "cell": [[4.9100, 0.0000, 0.0000], [0.0000, 4.9100, 0.0000], [-2.4550, -2.4550, 5.1355]],
  "species": ["Nd", "Nd", "Nd", "In"],
  "fractional_positions": [[0.7500, 0.2500, 0.5000], [0.2500, 0.7500, 0.5000], [0.5000, 0.5000, 0.0000], [0.0000, 0.0000, 0.0000]],
  "crystal_system": "tetragonal",
  "rho_g_cm3": 7.344,
  "volume_a3_per_cell": 123.8,
  "total_energy_ev_per_cell": -18.07
}

---

(4)
{
  "formula": "Nd2In3",
  "functional": "PBE",
  "state": "relaxed",
  "cell": [[-4.9113, 1.8712, 4.3827], [-2.3081, -8.0361, 0.8446], [6.3011, -1.0217, 7.4972]],
  "species": ["Nd", "Nd", "Nd", "Nd", "Nd", "Nd", "Nd", "Nd", "In", "In", "In", "In", "In", "In", "In", "In", "In", "In", "In", "In"],
  "fractional_positions": [[0.1276, 0.1832, 0.9118], [0.3724, 0.3168, 0.4118], [0.8724, 0.1832, 0.5882], [0.6276, 0.3168, 0.0882], [0.8724, 0.8168, 0.0882], [0.6276, 0.6832, 0.5882], [0.1276, 0.8168, 0.4118], [0.3724, 0.6832, 0.9118], [0.8659, 0.5219, 0.8684], [0.6341, 0.9781, 0.3684], [0.1341, 0.5219, 0.6316], [0.3659, 0.9781, 0.1316], [0.1341, 0.4781, 0.1316], [0.3659, 0.0219, 0.6316], [0.8659, 0.4781, 0.3684], [0.6341, 0.0219, 0.8684], [0.0000, 0.8485, 0.7500], [0.5000, 0.6515, 0.2500], [0.0000, 0.1515, 0.2500], [0.5000, 0.3485, 0.7500]],
  "crystal_system": "orthorhombic",
  "rho_g_cm3": 7.424,
  "volume_a3_per_cell": 566.3,
  "total_energy_ev_per_cell": -79.89,
  "de_polymorph_ev_per_fu": 0.01
}

---

(5)
{
  "formula": "Nd7In5",
  "functional": "PBE",
  "state": "relaxed",
  "cell": [[-1.1278, 3.4927, 4.0321], [2.0468, -4.9082, 1.1377], [12.6529, 7.5563, -3.0066]],
  "species": ["Nd", "Nd", "Nd", "Nd", "Nd", "Nd", "Nd", "In", "In", "In", "In", "In"],
  "fractional_positions": [[0.2219, 0.4438, 0.6623], [0.7781, 0.5562, 0.3377], [0.0710, 0.1420, 0.2152], [0.9290, 0.8580, 0.7848], [0.6917, 0.3835, 0.0761], [0.5000, 0.0000, 0.5000], [0.3083, 0.6165, 0.9239], [0.1434, 0.2869, 0.4335], [0.8566, 0.7131, 0.5665], [0.4022, 0.8043, 0.2073], [0.5978, 0.1957, 0.7927], [0.0000, 0.0000, 0.0000]],
  "crystal_system": "monoclinic",
  "rho_g_cm3": 6.965,
  "volume_a3_per_cell": 377.6,
  "total_energy_ev_per_cell": -51.11
}

---

(6)
{
  "formula": "Nd4In",
  "functional": "PBE",
  "state": "relaxed",
  "cell": [[5.9159, 0.0000, 0.0000], [0.0000, 5.9159, 0.0000], [0.0000, 0.0000, 5.9159]],
  "species": ["Nd", "Nd", "Nd", "Nd", "In"],
  "fractional_positions": [[0.0000, 0.0000, 0.0000], [0.5000, 0.0000, 0.5000], [0.0000, 0.5000, 0.5000], [0.5000, 0.5000, 0.0000], [0.5000, 0.5000, 0.5000]],
  "crystal_system": "cubic",
  "rho_g_cm3": 5.548,
  "volume_a3_per_cell": 207.0,
  "total_energy_ev_per_cell": -20.03,
  "de_polymorph_ev_per_fu": 2.64
}

---

(7)
{
  "formula": "Nd3In",
  "functional": "PBE",
  "state": "relaxed",
  "cell": [[5.5893, 0.0000, 0.0000], [0.0000, 7.1868, 0.0010], [0.0000, -3.5954, 6.2240]],
  "species": ["Nd", "Nd", "Nd", "Nd", "Nd", "Nd", "In", "In"],
  "fractional_positions": [[0.7500, 0.8240, 0.1756], [0.7500, 0.3517, 0.1759], [0.7500, 0.8239, 0.6483], [0.2500, 0.1760, 0.8244], [0.2500, 0.6483, 0.8241], [0.2500, 0.1761, 0.3517], [0.2500, 0.6668, 0.3334], [0.7500, 0.3332, 0.6666]],
  "crystal_system": "hexagonal",
  "rho_g_cm3": 7.273,
  "volume_a3_per_cell": 250.0,
  "total_energy_ev_per_cell": -36.19
}

---

(8)
{
  "formula": "Nd3In",
  "functional": "PBE",
  "state": "relaxed",
  "cell": [[-3.9923, -1.8321, 2.3650], [2.8979, -1.3909, 3.8144], [-0.7413, 4.4254, 2.1770]],
  "species": ["Nd", "Nd", "Nd", "In"],
  "fractional_positions": [[0.0000, 0.0000, 0.0835], [0.0000, 0.5000, 0.5832], [0.5000, 0.5000, 0.0831], [0.5000, 0.0000, 0.5836]],
  "crystal_system": "cubic",
  "rho_g_cm3": 7.326,
  "volume_a3_per_cell": 124.1,
  "total_energy_ev_per_cell": -18.14
}